KZr2Au | PBE | optimized geometry

Cell lengths 7.0739, 7.0739, 7.0739 Å; angles 90.00, 90.00, 90.00 degrees
Last column: nearest neighbours and their distance in Å.
Space group Fm-3m (No. 225)
Asymmetric unit:
K 0.0000 0.0000 0.0000 (multiplicity 4)  8 Zr 3.06
Zr 0.2500 0.2500 0.2500 (multiplicity 8)  4 K 3.06, 4 Au 3.06
Au 0.0000 0.0000 0.5000 (multiplicity 4)  8 Zr 3.06

Computed properties:
total moment	0.0	Bohr magnetons per cell
energy above the lowest structure with this stoichiometry	609	meV per atom
electronic total energy	-4.798	eV per atom
DFT formation energy	0.5696	eV/atom